Material: Th2InRe
Method: DFT, PBE
State: optimized geometry

Output
VASP energy: -28.82 eV/cell
Energy of formation from the pure elements: 303 meV/atom
Crystal system: trigonal
Space-group type: No. 166
Total magnetization: 0.00 μB per formula unit

Lattice parameters (Å, degrees): 4.124 4.124 10.124 78.25 78.25 60.00
Element x y z (fractional)
Th  0.116  0.116  0.652
Th  0.884  0.884  0.348
In  0.000  0.000  0.000
Re  0.500  0.500  0.500

Material: InHRu2
Method: DFT, PBE
State: optimized geometry

Output
VASP energy: -46.75 eV/cell
Crystal system: tetragonal
Space-group type: No. 122
Total magnetization: 0.00 μB per formula unit

Lattice parameters (Å, degrees): 6.199 6.199 5.156 53.05 53.05 90.00
Element x y z (fractional)
H  0.250  0.750  0.500
H  0.500  0.500  0.000
Ru  0.518  0.125  0.250
Ru  0.875  0.768  0.750
Ru  0.232  0.625  0.250
Ru  0.375  0.482  0.750
In  0.000  0.000  0.000
In  0.750  0.250  0.500

Material: DyNp2Sb3
Method: DFT, PBE
State: optimized geometry

Output
VASP energy: -183.44 eV/cell
Formation energy (no corrections): -502 meV per atom
Crystal system: orthorhombic
Space-group type: No. 70
Total magnetization: 7.93 μB per formula unit

Lattice parameters (Å, degrees): 7.609 7.609 13.885 100.54 100.54 109.43
Last column: magnetic moment on the atom in μB.
Element x y z (fractional)
Dy  0.917  0.917  0.833  -0.03
Dy  0.167  0.667  0.333  -0.03
Dy  0.083  0.083  0.167  -0.03
Dy  0.333  0.833  0.667  -0.03
Sb  0.834  0.333  0.167  -0.08
Sb  0.083  0.083  0.667  -0.08
Sb  0.001  0.501  0.500  -0.08
Sb  0.167  0.667  0.833  -0.08
Sb  0.583  0.584  0.667  -0.08
Sb  0.333  0.833  0.167  -0.08
Sb  0.249  0.249  0.000  -0.08
Sb  0.917  0.917  0.333  -0.08
Sb  0.751  0.751  0.000  -0.08
Sb  0.499  0.999  0.500  -0.08
Sb  0.416  0.417  0.333  -0.08
Sb  0.667  0.166  0.833  -0.08
Np  0.667  0.167  0.334  3.88
Np  0.750  0.750  0.500  3.85
Np  0.833  0.333  0.666  3.88
Np  0.250  0.250  0.500  3.85
Np  0.417  0.417  0.834  3.88
Np  0.500  0.000  0.000  3.85
Np  0.000  0.500  0.000  3.85
Np  0.583  0.583  0.166  3.88

Material: Y2CrRe
Method: DFT, PBE
State: optimized geometry

Output
VASP energy: -32.25 eV/cell
Energy of formation from the pure elements: 688 meV/atom
Crystal system: trigonal
Space-group type: No. 166
Total magnetization: 3.40 μB per formula unit

Lattice parameters (Å, degrees): 9.425 9.425 9.425 20.55 20.55 20.55
Last column: magnetic moment on the atom in μB.
Element x y z (fractional)
Re  0.750  0.750  0.750  0.06
Cr  0.250  0.250  0.250  3.45
Y  0.007  0.007  0.007  -0.14
Y  0.493  0.493  0.493  -0.14